No. 1
The following is a DFT calculation (GGA-PBE) of an optimized crystal structure of SrBe2Au10.

- SG: No. 69
- E_form: -3.0 eV/f.u.

The structure in POSCAR format:
```
SrBe2Au10
1.0
5.452 0.000 0.000
2.726 7.359 0.000
2.726 0.000 6.055
Sr Be Au
1 2 10
direct
0.000 0.000 0.000
0.000 0.500 0.000
0.500 0.500 0.000
0.323 0.653 0.700
0.677 0.347 0.300
0.976 0.347 0.700
0.024 0.653 0.300
0.000 0.000 0.500
0.500 0.000 0.500
0.251 0.268 0.230
0.749 0.732 0.770
0.519 0.732 0.230
0.481 0.268 0.770
```



No. 2
The following is a DFT calculation (GGA-PBE) of an optimized crystal structure of Sr2BeAu.

- SG: No. 10
- E_form: -0.3 eV/f.u.

The structure in POSCAR format:
```
Sr2BeAu
1.0
3.774 0.000 0.000
0.000 3.828 -0.002
0.000 3.851 7.653
Sr Au Be
2 1 1
direct
0.000 0.004 0.996
0.000 0.496 0.504
0.500 0.250 0.250
0.500 0.750 0.750
```



No. 3
The following is a DFT calculation (GGA-PBE) of an optimized crystal structure of SrBeTeAu2.

- Energy relative to the elements, uncorrected: -2.34 eV per formula unit
- SG: No. 123

The structure in POSCAR format:
```
SrBeTeAu2
1.0
-4.135 -1.155 1.813
-0.779 -2.859 -3.598
2.347 -4.093 2.745
Sr Te Au Be
1 1 2 1
direct
0.500 0.500 0.500
0.000 0.000 0.500
0.000 0.500 0.000
0.500 0.000 0.000
0.000 0.000 0.000
```



What is the formula in the third record?
SrBeTeAu2